Here is an optimized crystal structure of UPaCuPt from Alexandria via LeMat-Bulk. Energies are from GGA-PBE.

The calculation puts the volume at 301.2 Å³ per cell. For the total moment, the calculation gives 1.00 μB per atom. The value obtained for the theoretical density is 16.049 g/cm3. The formation energy from the elements comes out at -0.3341 eV per atom. The uncorrected energy comes out at -129.0 eV for the cell shown.

It has space group F-43m (No. 216), with a = 6.703 Å, b = 6.703 Å, c = 6.703 Å, α = 90.00°, β = 90.00° and γ = 90.00°. The distinct sites, in fractional coordinates, are U at (0.000, 0.000, 0.000), Pa at (0.250, 0.250, 0.250), Cu at (0.000, 0.000, 0.500) and Pt at (0.250, 0.250, 0.750).


Here is an optimized crystal structure of PuPa2Cu6 from Alexandria via LeMat-Bulk. Energies are from GGA-PBE.

The calculation puts the volume at 156.6 Å³ per cell. For the total moment, the calculation gives 0.58 μB per atom. The value obtained for the theoretical density is 11.528 g/cm3. The formation energy from the elements comes out at -0.0230 eV per atom. The uncorrected energy comes out at -58.1 eV for the cell shown.

It has space group P6/mmm (No. 191), with a = 7.6690 Å, b = 7.6690 Å, c = 3.0750 Å, α = 90.00°, β = 90.00° and γ = 120.00°. The distinct sites, in fractional coordinates, are Pu at (0.0000, 0.0000, 0.0000), Pa at (0.3333, 0.6667, 0.0000) and Cu at (0.0000, 0.3344, 0.5000).


Here is an optimized crystal structure of Pu3PaCu8 from Alexandria via LeMat-Bulk. Energies are from GGA-PBE.

The calculation puts the volume at 199.3 Å³ per cell. For the total moment, the calculation gives 1.51 μB per atom. The value obtained for the theoretical density is 12.258 g/cm3. The formation energy from the elements comes out at -0.0464 eV per atom. The uncorrected energy comes out at -85.8 eV for the cell shown.

It has space group P3m1 (No. 156), with a = 5.1745 Å, b = 5.1745 Å, c = 8.5957 Å, α = 90.00°, β = 90.00° and γ = 120.00°. The distinct sites, in fractional coordinates, are Pu at (0.0000, 0.0000, 0.0000), Pu at (0.0000, 0.0000, 0.3937), Pu at (0.3333, 0.6667, 0.8933), Pa at (0.3333, 0.6667, 0.4955), Cu at (0.3375, 0.1688, 0.6953), Cu at (0.5020, 0.0040, 0.1964), Cu at (0.6667, 0.3333, 0.4462) and Cu at (0.6667, 0.3333, 0.9452).


Here is an optimized crystal structure of Pu2PaCu from Alexandria via LeMat-Bulk. Energies are from GGA-PBE.

For the energy relative to the lowest polymorph listed for this composition, the calculation gives 101 meV/atom. The calculation puts the volume at 343.2 Å³ per cell. For the total moment, the calculation gives 3.22 μB per atom. The value obtained for the theoretical density is 15.147 g/cm3. The formation energy from the elements comes out at 0.2061 eV per atom. The uncorrected energy comes out at -165.7 eV for the cell shown.

It has space group Fm-3m (No. 225), with a = 7.001 Å, b = 7.001 Å, c = 7.001 Å, α = 90.00°, β = 90.00° and γ = 90.00°. The distinct sites, in fractional coordinates, are Pu at (0.250, 0.250, 0.250), Pa at (0.000, 0.000, 0.000) and Cu at (0.000, 0.000, 0.500).